(1)
Pr2In3Hg2 after structural relaxation. Source: Alexandria via LeMat-Bulk, functional PBE.

As for the density of states at the Fermi level: 0.7448 states/eV/atom.

It has space group C2/m (No. 12), with a = 11.5443 Å, b = 4.7123 Å, c = 7.1116 Å, α = 90.00°, β = 99.30° and γ = 90.00°. Symmetry generates all atoms from Pr at (0.1105, 0.0000, 0.3172), In at (0.0000, 0.5000, 0.0000), In at (0.2039, 0.0000, 0.8629) and Hg at (0.1103, 0.5000, 0.6355).



(2)
Pr2InHg4 after structural relaxation. Source: Alexandria via LeMat-Bulk, functional PBE.

The relative energy among the computed polymorphs comes out at 0 meV per atom. As for the density of states at the Fermi level: 0.5963 states/eV/atom.

It has space group R-3m (No. 166, hexagonal axes), with a = 5.2265 Å, b = 5.2265 Å, c = 25.2677 Å, α = 90.00°, β = 90.00° and γ = 120.00°. Symmetry generates all atoms from Pr at (0.0000, 0.0000, 0.2454), In at (0.0000, 0.0000, 0.5000), Hg at (0.0000, 0.0000, 0.1153) and Hg at (0.0000, 0.0000, 0.3697).



(3)
PrIn3Hg after structural relaxation. Source: Alexandria via LeMat-Bulk, functional PBE.

As for the density of states at the Fermi level: 0.4933 states/eV/atom.

It has space group Cmmm (No. 65), with a = 4.8001 Å, b = 26.5071 Å, c = 4.3621 Å, α = 90.00°, β = 90.00° and γ = 90.00°. Symmetry generates all atoms from Pr at (0.0000, 0.1660, 0.0000), In at (0.0000, 0.0553, 0.5000), In at (0.0000, 0.2750, 0.5000), In at (0.0000, 0.4470, 0.0000) and Hg at (0.0000, 0.3775, 0.5000).



(4)
Pr6In5Hg after structural relaxation. Source: Alexandria via LeMat-Bulk, functional PBE.

The relative energy among the computed polymorphs comes out at 0 meV per atom. As for the density of states at the Fermi level: 0.9502 states/eV/atom.

It has space group P2/m (No. 10), with a = 5.5248 Å, b = 7.8035 Å, c = 8.7181 Å, α = 90.00°, β = 108.26° and γ = 90.00°. Symmetry generates all atoms from Pr at (0.0000, 0.2474, 0.0000), Pr at (0.3345, 0.2485, 0.6690), In at (0.1663, 0.0000, 0.3320), In at (0.1674, 0.5000, 0.3342), In at (0.5000, 0.5000, 0.0000) and Hg at (0.5000, 0.0000, 0.0000).



(5)
PrIn3Hg2 after structural relaxation. Source: Alexandria via LeMat-Bulk, functional PBE.

The relative energy among the computed polymorphs comes out at 0 meV per atom. As for the density of states at the Fermi level: 0.4962 states/eV/atom.

It has space group C2/m (No. 12), with a = 16.8900 Å, b = 4.9644 Å, c = 8.8625 Å, α = 90.00°, β = 120.35° and γ = 90.00°. Symmetry generates all atoms from Pr at (0.1327, 0.0000, 0.1188), In at (0.0280, 0.0000, 0.3663), In at (0.1257, 0.5000, 0.6844), In at (0.2029, 0.5000, 0.4180), Hg at (0.0063, 0.5000, 0.8428) and Hg at (0.2409, 0.0000, 0.8762).



(6)
PrIn2Hg9 after structural relaxation. Source: Alexandria via LeMat-Bulk, functional PBE.

As for the density of states at the Fermi level: 0.6422 states/eV/atom.

It has space group P4/mmm (No. 123), with a = 4.8576 Å, b = 4.8576 Å, c = 13.3335 Å, α = 90.00°, β = 90.00° and γ = 90.00°. Symmetry generates all atoms from Pr at (0.0000, 0.0000, 0.0000), In at (0.0000, 0.0000, 0.3332), Hg at (0.0000, 0.5000, 0.1687), Hg at (0.0000, 0.5000, 0.5000), Hg at (0.5000, 0.5000, 0.0000) and Hg at (0.5000, 0.5000, 0.3333).



(7)
PrInHg after structural relaxation. Source: Alexandria via LeMat-Bulk, functional PBE.

As for the density of states at the Fermi level: 0.8992 states/eV/atom.

It has space group I4mm (No. 107), with a = 3.7122 Å, b = 3.7122 Å, c = 11.9143 Å, α = 90.00°, β = 90.00° and γ = 90.00°. Symmetry generates all atoms from Pr at (0.0000, 0.0000, 0.0000), In at (0.0000, 0.0000, 0.6833) and Hg at (0.0000, 0.0000, 0.3301).



(8)
Pr2In3Hg4 after structural relaxation. Source: Alexandria via LeMat-Bulk, functional PBE.

The relative energy among the computed polymorphs comes out at 0 meV per atom. As for the density of states at the Fermi level: 0.3845 states/eV/atom.

It has space group P-3m1 (No. 164), with a = 5.1417 Å, b = 5.1417 Å, c = 10.3699 Å, α = 90.00°, β = 90.00° and γ = 120.00°. Symmetry generates all atoms from Pr at (0.3333, 0.6667, 0.2128), In at (0.0000, 0.0000, 0.0000), In at (0.3333, 0.6667, 0.5616), Hg at (0.0000, 0.0000, 0.3370) and Hg at (0.3333, 0.6667, 0.8946).



(9)
PrInHg6 after structural relaxation. Source: Alexandria via LeMat-Bulk, functional PBE.

As for the density of states at the Fermi level: 0.4389 states/eV/atom.

It has space group Amm2 (No. 38), with a = 5.0312 Å, b = 7.4371 Å, c = 11.0688 Å, α = 90.00°, β = 90.00° and γ = 90.00°. Symmetry generates all atoms from Pr at (0.0000, 0.0000, 0.0000), In at (0.5000, 0.0000, 0.2567), Hg at (0.0000, 0.0000, 0.4687), Hg at (0.0000, 0.2267, 0.7348), Hg at (0.5000, 0.0000, 0.8050) and Hg at (0.5000, 0.2215, 0.5274).



(10)
Pr3In2Hg8 after structural relaxation. Source: Alexandria via LeMat-Bulk, functional PBE.

As for the density of states at the Fermi level: 0.8043 states/eV/atom.

It has space group R-3m (No. 166, hexagonal axes), with a = 6.1223 Å, b = 6.1223 Å, c = 33.9475 Å, α = 90.00°, β = 90.00° and γ = 120.00°. Symmetry generates all atoms from Pr at (0.0000, 0.0000, 0.0000), Pr at (0.0000, 0.0000, 0.1892), In at (0.0000, 0.0000, 0.3662), Hg at (0.0000, 0.0000, 0.2822) and Hg at (0.0010, 0.5005, 0.7732).



(11)
Pr2InHg after structural relaxation. Source: Alexandria via LeMat-Bulk, functional PBE.

As for the density of states at the Fermi level: 0.9274 states/eV/atom.

It has space group R-3m (No. 166, hexagonal axes), with a = 3.9028 Å, b = 3.9028 Å, c = 29.0533 Å, α = 90.00°, β = 90.00° and γ = 120.00°. Symmetry generates all atoms from Pr at (0.0000, 0.0000, 0.2490), In at (0.0000, 0.0000, 0.0000) and Hg at (0.0000, 0.0000, 0.5000).



(12)
Pr4In2Hg after structural relaxation. Source: Alexandria via LeMat-Bulk, functional PBE.

As for the density of states at the Fermi level: 1.3288 states/eV/atom.

It has space group R-3m (No. 166, hexagonal axes), with a = 5.4663 Å, b = 5.4663 Å, c = 26.2655 Å, α = 90.00°, β = 90.00° and γ = 120.00°. Symmetry generates all atoms from Pr at (0.0000, 0.0000, 0.1199), Pr at (0.0000, 0.0000, 0.3721), In at (0.0000, 0.0000, 0.2480) and Hg at (0.0000, 0.0000, 0.5000).



| no. | total DFT energy (no corrections) (eV/atom) |
| --- | --- |
| 1 | -3.02 |
| 2 | -2.27 |
| 3 | -2.89 |
| 4 | -4.04 |
| 5 | -2.51 |
| 6 | -1.20 |
| 7 | -2.96 |
| 8 | -2.45 |
| 9 | -1.35 |
| 10 | -1.85 |
| 11 | -3.46 |
| 12 | -3.89 |